First-principles (PBE) data for a relaxed HfPb crystal, as listed in OQMD via LeMat-Bulk.

Cell: 3.3006 3.3006 5.0502 Å, 90.00 90.00 120.00°
Space group P-6m2 (No. 187)
One atom of each set of equivalent atoms:
Hf  0.0000  0.0000  0.0000 [1 per cell]
Pb  0.6667  0.3333  0.5000 [1 per cell]

calculated volume: 23.823 Å³/atom
total magnetic moment: 0.001 μB/atom
total DFT energy (no corrections): -6.8027 eV/atom

=====

First-principles (PBE) data for a relaxed HfPb crystal, as listed in OQMD via LeMat-Bulk.

Cell: 6.591 6.591 6.591 Å, 90.00 90.00 90.00°
Space group F-43m (No. 216)
One atom of each set of equivalent atoms:
Hf  0.000  0.000  0.000 [4 per cell]
Pb  0.250  0.250  0.750 [4 per cell]

calculated volume: 35.782 Å³/atom
total magnetic moment: 0.000 μB/atom
total DFT energy (no corrections): -5.8507 eV/atom

=====

First-principles (PBE) data for a relaxed HfPb2 crystal, as listed in OQMD via LeMat-Bulk.

Cell: 7.315 7.315 6.000 Å, 90.00 90.00 90.00°
Space group I4/mcm (No. 140)
One atom of each set of equivalent atoms:
Hf  0.000  0.000  0.250 [4 per cell]
Pb  0.177  0.323  0.000 [8 per cell]

calculated volume: 26.750 Å³/atom
total magnetic moment: 0.000 μB/atom
total DFT energy (no corrections): -5.7184 eV/atom

=====

First-principles (PBE) data for a relaxed Hf2PdPb3 crystal, as listed in OQMD via LeMat-Bulk.

Cell: 3.576 3.576 10.939 Å, 90.00 90.00 90.00°
Space group P4mm (No. 99)
One atom of each set of equivalent atoms:
Hf  0.000  0.000  0.000 [1 per cell]
Hf  0.500  0.500  0.451 [1 per cell]
Pd  0.000  0.000  0.332 [1 per cell]
Pb  0.000  0.000  0.626 [1 per cell]
Pb  0.500  0.500  0.170 [1 per cell]
Pb  0.500  0.500  0.832 [1 per cell]

calculated volume: 23.321 Å³/atom
total magnetic moment: 0.001 μB/atom
total DFT energy (no corrections): -6.0281 eV/atom

=====

First-principles (PBE) data for a relaxed Hf2PdPb2 crystal, as listed in OQMD via LeMat-Bulk.

Cell: 4.106 4.106 14.540 Å, 90.00 90.00 90.00°
Space group I4/mmm (No. 139)
One atom of each set of equivalent atoms:
Hf  0.000  0.000  0.092 [4 per cell]
Pd  0.000  0.000  0.500 [2 per cell]
Pb  0.000  0.500  0.250 [4 per cell]

calculated volume: 24.513 Å³/atom
total magnetic moment: 0.009 μB/atom
total DFT energy (no corrections): -5.9877 eV/atom

=====

First-principles (PBE) data for a relaxed Hf2PdPb2 crystal, as listed in OQMD via LeMat-Bulk.

Cell: 4.039 4.039 14.668 Å, 90.00 90.00 90.00°
Space group I4/mmm (No. 139)
One atom of each set of equivalent atoms:
Hf  0.000  0.500  0.250 [4 per cell]
Pd  0.000  0.000  0.000 [2 per cell]
Pb  0.000  0.000  0.406 [4 per cell]

calculated volume: 23.926 Å³/atom
total magnetic moment: 0.006 μB/atom
total DFT energy (no corrections): -5.9490 eV/atom

=====

First-principles (PBE) data for a relaxed HfPd2Pb crystal, as listed in OQMD via LeMat-Bulk.

Cell: 6.686 6.686 6.686 Å, 90.00 90.00 90.00°
Space group F-43m (No. 216)
One atom of each set of equivalent atoms:
Hf  0.000  0.000  0.000 [4 per cell]
Pd  0.000  0.000  0.500 [4 per cell]
Pd  0.250  0.250  0.250 [4 per cell]
Pb  0.250  0.250  0.750 [4 per cell]

calculated volume: 18.677 Å³/atom
total magnetic moment: 0.000 μB/atom
total DFT energy (no corrections): -6.2968 eV/atom

=====

First-principles (PBE) data for a relaxed Hf2PdPtPb2 crystal, as listed in OQMD via LeMat-Bulk.

Cell: 7.914 4.568 15.149 Å, 90.00 100.01 90.00°
Space group Pm (No. 6)
One atom of each set of equivalent atoms:
Hf  0.000  0.000  0.000 [1 per cell]
Hf  0.005  0.500  0.501 [1 per cell]
Hf  0.253  0.000  0.751 [1 per cell]
Hf  0.258  0.500  0.253 [1 per cell]
Hf  0.504  0.000  0.502 [1 per cell]
Hf  0.509  0.500  0.003 [1 per cell]
Hf  0.751  0.000  0.251 [1 per cell]
Hf  0.756  0.500  0.753 [1 per cell]
Pd  0.067  0.000  0.189 [1 per cell]
Pd  0.067  0.500  0.689 [1 per cell]
Pd  0.317  0.000  0.939 [1 per cell]
Pd  0.567  0.000  0.690 [1 per cell]
Pt  0.317  0.500  0.440 [1 per cell]
Pt  0.567  0.500  0.189 [1 per cell]
Pt  0.817  0.000  0.440 [1 per cell]
Pt  0.817  0.500  0.939 [1 per cell]
Pb  0.128  0.000  0.375 [1 per cell]
Pb  0.134  0.500  0.877 [1 per cell]
Pb  0.374  0.000  0.125 [1 per cell]
Pb  0.381  0.500  0.629 [1 per cell]
Pb  0.624  0.000  0.875 [1 per cell]
Pb  0.630  0.500  0.377 [1 per cell]
Pb  0.880  0.000  0.629 [1 per cell]
Pb  0.885  0.500  0.129 [1 per cell]

calculated volume: 22.472 Å³/atom
total magnetic moment: 0.000 μB/atom
total DFT energy (no corrections): -6.9763 eV/atom

=====

First-principles (PBE) data for a relaxed Hf2SnPd2Pb crystal, as listed in OQMD via LeMat-Bulk.

Cell: 11.073 4.518 11.080 Å, 90.00 109.44 90.00°
Space group Pm (No. 6)
One atom of each set of equivalent atoms:
Hf  0.000  0.000  0.000 [1 per cell]
Hf  0.123  0.500  0.375 [1 per cell]
Hf  0.247  0.000  0.748 [1 per cell]
Hf  0.375  0.500  0.128 [1 per cell]
Hf  0.500  0.000  0.500 [1 per cell]
Hf  0.625  0.500  0.873 [1 per cell]
Hf  0.749  0.000  0.252 [1 per cell]
Hf  0.873  0.500  0.624 [1 per cell]
Sn  0.250  0.000  0.251 [1 per cell]
Sn  0.624  0.500  0.375 [1 per cell]
Sn  0.749  0.000  0.749 [1 per cell]
Sn  0.998  0.000  0.499 [1 per cell]
Pd  0.128  0.500  0.129 [1 per cell]
Pd  0.245  0.000  0.496 [1 per cell]
Pd  0.374  0.500  0.875 [1 per cell]
Pd  0.500  0.000  0.255 [1 per cell]
Pd  0.628  0.500  0.624 [1 per cell]
Pd  0.750  0.000  0.996 [1 per cell]
Pd  0.873  0.500  0.379 [1 per cell]
Pd  0.995  0.000  0.746 [1 per cell]
Pb  0.123  0.500  0.875 [1 per cell]
Pb  0.375  0.500  0.624 [1 per cell]
Pb  0.500  0.000  0.002 [1 per cell]
Pb  0.875  0.500  0.126 [1 per cell]

calculated volume: 21.782 Å³/atom
total magnetic moment: 0.001 μB/atom
total DFT energy (no corrections): -6.9086 eV/atom

=====

First-principles (PBE) data for a relaxed HfPtPb2 crystal, as listed in OQMD via LeMat-Bulk.

Cell: 7.160 7.160 7.160 Å, 90.00 90.00 90.00°
Space group F-43m (No. 216)
One atom of each set of equivalent atoms:
Hf  0.000  0.000  0.000 [4 per cell]
Pt  0.250  0.250  0.750 [4 per cell]
Pb  0.000  0.000  0.500 [4 per cell]
Pb  0.250  0.250  0.250 [4 per cell]

calculated volume: 22.942 Å³/atom
total magnetic moment: 0.001 μB/atom
total DFT energy (no corrections): -5.7478 eV/atom

=====

First-principles (PBE) data for a relaxed Hf2SiPt2Pb crystal, as listed in OQMD via LeMat-Bulk.

Cell: 10.876 4.438 10.919 Å, 90.00 109.49 90.00°
Space group Pm (No. 6)
One atom of each set of equivalent atoms:
Hf  0.000  0.000  0.000 [1 per cell]
Hf  0.110  0.500  0.372 [1 per cell]
Hf  0.235  0.000  0.741 [1 per cell]
Hf  0.375  0.500  0.137 [1 per cell]
Hf  0.495  0.000  0.500 [1 per cell]
Hf  0.620  0.500  0.863 [1 per cell]
Hf  0.743  0.000  0.257 [1 per cell]
Hf  0.863  0.500  0.619 [1 per cell]
Si  0.244  0.000  0.253 [1 per cell]
Si  0.618  0.500  0.377 [1 per cell]
Si  0.744  0.000  0.744 [1 per cell]
Si  0.988  0.000  0.497 [1 per cell]
Pt  0.133  0.500  0.138 [1 per cell]
Pt  0.225  0.000  0.484 [1 per cell]
Pt  0.367  0.500  0.872 [1 per cell]
Pt  0.497  0.000  0.265 [1 per cell]
Pt  0.625  0.500  0.619 [1 per cell]
Pt  0.746  0.000  0.978 [1 per cell]
Pt  0.862  0.500  0.381 [1 per cell]
Pt  0.979  0.000  0.735 [1 per cell]
Pb  0.116  0.500  0.875 [1 per cell]
Pb  0.364  0.500  0.618 [1 per cell]
Pb  0.497  0.000  0.002 [1 per cell]
Pb  0.867  0.500  0.122 [1 per cell]

calculated volume: 20.700 Å³/atom
total magnetic moment: 0.000 μB/atom
total DFT energy (no corrections): -7.6752 eV/atom

=====

First-principles (PBE) data for a relaxed HfZrPt2Pb2 crystal, as listed in OQMD via LeMat-Bulk.

Cell: 9.167 4.583 13.752 Å, 90.00 109.47 90.00°
Space group Pm (No. 6)
One atom of each set of equivalent atoms:
Hf  0.000  0.000  0.000 [1 per cell]
Hf  0.125  0.500  0.750 [1 per cell]
Hf  0.250  0.000  0.500 [1 per cell]
Hf  0.500  0.000  0.000 [1 per cell]
Zr  0.375  0.500  0.250 [1 per cell]
Zr  0.625  0.500  0.751 [1 per cell]
Zr  0.750  0.000  0.501 [1 per cell]
Zr  0.875  0.500  0.250 [1 per cell]
Pt  0.062  0.500  0.123 [1 per cell]
Pt  0.187  0.000  0.875 [1 per cell]
Pt  0.310  0.500  0.625 [1 per cell]
Pt  0.436  0.000  0.376 [1 per cell]
Pt  0.561  0.500  0.123 [1 per cell]
Pt  0.688  0.000  0.877 [1 per cell]
Pt  0.816  0.500  0.627 [1 per cell]
Pt  0.940  0.000  0.376 [1 per cell]
Pb  0.124  0.000  0.249 [1 per cell]
Pb  0.250  0.500  0.999 [1 per cell]
Pb  0.375  0.000  0.750 [1 per cell]
Pb  0.501  0.500  0.501 [1 per cell]
Pb  0.625  0.000  0.251 [1 per cell]
Pb  0.750  0.500  0.000 [1 per cell]
Pb  0.875  0.000  0.751 [1 per cell]
Pb  0.999  0.500  0.500 [1 per cell]

calculated volume: 22.698 Å³/atom
total magnetic moment: 0.001 μB/atom
total DFT energy (no corrections): -7.0305 eV/atom

=====

First-principles (PBE) data for a relaxed RbHfPb crystal, as listed in OQMD via LeMat-Bulk.

Cell: 7.583 7.583 7.583 Å, 90.00 90.00 90.00°
Space group F-43m (No. 216)
One atom of each set of equivalent atoms:
Rb  0.000  0.000  0.000 [4 per cell]
Hf  0.250  0.250  0.750 [4 per cell]
Pb  0.250  0.250  0.250 [4 per cell]

calculated volume: 36.335 Å³/atom
total magnetic moment: 0.121 μB/atom
total DFT energy (no corrections): -3.2772 eV/atom

=====

First-principles (PBE) data for a relaxed RbHfPb crystal, as listed in OQMD via LeMat-Bulk.

Cell: 7.588 7.588 7.588 Å, 90.00 90.00 90.00°
Space group F-43m (No. 216)
One atom of each set of equivalent atoms:
Rb  0.000  0.000  0.000 [4 per cell]
Hf  0.000  0.000  0.500 [4 per cell]
Pb  0.250  0.250  0.750 [4 per cell]

calculated volume: 36.401 Å³/atom
total magnetic moment: 0.333 μB/atom
total DFT energy (no corrections): -3.8982 eV/atom

=====

First-principles (PBE) data for a relaxed HfRePb2 crystal, as listed in OQMD via LeMat-Bulk.

Cell: 7.051 7.051 7.051 Å, 90.00 90.00 90.00°
Space group F-43m (No. 216)
One atom of each set of equivalent atoms:
Hf  0.000  0.000  0.000 [4 per cell]
Re  0.250  0.250  0.750 [4 per cell]
Pb  0.000  0.000  0.500 [4 per cell]
Pb  0.250  0.250  0.250 [4 per cell]

calculated volume: 21.912 Å³/atom
total magnetic moment: 0.001 μB/atom
total DFT energy (no corrections): -6.7837 eV/atom

=====

First-principles (PBE) data for a relaxed Hf6RePb2 crystal, as listed in OQMD via LeMat-Bulk.

Cell: 8.1446 8.1446 3.4687 Å, 90.00 90.00 120.00°
Space group P-62m (No. 189)
One atom of each set of equivalent atoms:
Hf  0.0000  0.3713  0.0000 [3 per cell]
Hf  0.0000  0.7477  0.5000 [3 per cell]
Re  0.0000  0.0000  0.0000 [1 per cell]
Pb  0.3333  0.6667  0.5000 [2 per cell]

calculated volume: 22.145 Å³/atom
total magnetic moment: 0.001 μB/atom
total DFT energy (no corrections): -8.9649 eV/atom

=====

First-principles (PBE) data for a relaxed HfPbS3 crystal, as listed in OQMD via LeMat-Bulk.

Cell: 9.122 3.769 14.074 Å, 90.00 90.00 90.00°
Space group Pnma (No. 62)
One atom of each set of equivalent atoms:
Hf  0.165  0.250  0.049 [4 per cell]
Pb  0.020  0.250  0.673 [4 per cell]
S  0.011  0.250  0.896 [4 per cell]
S  0.171  0.250  0.490 [4 per cell]
S  0.230  0.750  0.713 [4 per cell]

calculated volume: 24.194 Å³/atom
total magnetic moment: 0.001 μB/atom
total DFT energy (no corrections): -6.3678 eV/atom

=====

First-principles (PBE) data for a relaxed Hf3PbS6 crystal, as listed in OQMD via LeMat-Bulk.

Cell: 6.1216 6.1216 14.8942 Å, 90.00 90.00 120.00°
Space group P6_3/mcm (No. 193)
One atom of each set of equivalent atoms:
Hf  0.0000  0.0000  0.2500 [2 per cell]
Hf  0.3333  0.6667  0.2500 [4 per cell]
Pb  0.0000  0.0000  0.0000 [2 per cell]
S  0.0000  0.3345  0.1443 [12 per cell]

calculated volume: 24.168 Å³/atom
total magnetic moment: 0.156 μB/atom
total DFT energy (no corrections): -7.1494 eV/atom

=====

First-principles (PBE) data for a relaxed HfTl2PbS4 crystal, as listed in OQMD via LeMat-Bulk.

Cell: 15.630 8.284 6.809 Å, 90.00 109.03 90.00°
Space group C2/c (No. 15)
One atom of each set of equivalent atoms:
Hf  0.000  0.121  0.250 [4 per cell]
Tl  0.250  0.126  0.766 [8 per cell]
Pb  0.000  0.375  0.750 [4 per cell]
S  0.095  0.102  0.003 [8 per cell]
S  0.106  0.336  0.461 [8 per cell]

calculated volume: 26.045 Å³/atom
total magnetic moment: 0.000 μB/atom
total DFT energy (no corrections): -5.2596 eV/atom

=====

First-principles (PBE) data for a relaxed HfZnPbS3 crystal, as listed in OQMD via LeMat-Bulk.

Cell: 3.644 14.498 10.461 Å, 90.00 90.00 90.00°
Space group Cmcm (No. 63)
One atom of each set of equivalent atoms:
Hf  0.000  0.000  0.000 [4 per cell]
Zn  0.000  0.374  0.250 [4 per cell]
Pb  0.000  0.288  0.750 [4 per cell]
S  0.000  0.014  0.750 [4 per cell]
S  0.000  0.378  0.507 [8 per cell]

calculated volume: 23.029 Å³/atom
total magnetic moment: 0.001 μB/atom
total DFT energy (no corrections): -5.3897 eV/atom

=====

First-principles (PBE) data for a relaxed HfSb2Pb crystal, as listed in OQMD via LeMat-Bulk.

Cell: 7.460 7.460 7.460 Å, 90.00 90.00 90.00°
Space group F-43m (No. 216)
One atom of each set of equivalent atoms:
Hf  0.000  0.000  0.000 [4 per cell]
Sb  0.000  0.000  0.500 [4 per cell]
Sb  0.250  0.250  0.250 [4 per cell]
Pb  0.250  0.250  0.750 [4 per cell]

calculated volume: 25.949 Å³/atom
total magnetic moment: 0.000 μB/atom
total DFT energy (no corrections): -5.1647 eV/atom

=====

First-principles (PBE) data for a relaxed HfSbPb crystal, as listed in OQMD via LeMat-Bulk.

Cell: 7.067 7.067 7.067 Å, 90.00 90.00 90.00°
Space group F-43m (No. 216)
One atom of each set of equivalent atoms:
Hf  0.000  0.000  0.000 [4 per cell]
Sb  0.250  0.250  0.250 [4 per cell]
Pb  0.000  0.000  0.500 [4 per cell]

calculated volume: 29.407 Å³/atom
total magnetic moment: 0.004 μB/atom
total DFT energy (no corrections): -5.5234 eV/atom